Record 1
BaNaLiTl after structural relaxation, computed with PBE.

Cell and atoms, written as POSCAR:
```
BaNaLiTl
1.0
0.0000 4.0827 4.0827
4.0827 0.0000 4.0827
4.0827 4.0827 0.0000
Ba Na Li Tl
1 1 1 1
direct
0.0000 0.0000 0.0000
0.5000 0.5000 0.5000
0.2500 0.2500 0.2500
0.7500 0.7500 0.7500
```

Output
DFT formation energy ... -0.104 eV/atom



Record 2
NaHfSc after structural relaxation, computed with PBE.

Cell and atoms, written as POSCAR:
```
NaHfSc
1.0
5.2465 0.0000 0.0000
0.0000 5.1149 0.0000
-2.6194 0.0000 5.6989
Na Hf Sc
2 2 2
direct
0.0000 0.0000 0.0000
0.3601 0.0000 0.7212
0.6898 0.0000 0.3804
0.8078 0.5000 0.6093
0.1886 0.5000 0.3701
0.5353 0.5000 0.0647
```

Output
Energy above the lowest structure with this stoichiometry ... 0.385 eV/atom
DFT formation energy ... 0.545 eV/atom



Record 3
Ta2HgRu after structural relaxation, computed with PBE.

Cell and atoms, written as POSCAR:
```
Ta2HgRu
1.0
1.5001 0.8661 9.2396
-1.5001 0.8661 9.2396
0.0000 -1.7321 9.2396
Ta Hg Ru
2 1 1
direct
0.2417 0.2417 0.2417
0.7583 0.7583 0.7583
0.0000 0.0000 0.0000
0.5000 0.5000 0.5000
```

Output
DFT formation energy ... 0.197 eV/atom



Record 4
Th4Ni2Pd5 after structural relaxation, computed with PBE.

Cell and atoms, written as POSCAR:
```
Th4Ni2Pd5
1.0
7.1243 0.0000 0.0000
0.0000 3.8384 0.0000
-0.4903 0.0000 8.4644
Th Ni Pd
4 2 5
direct
0.2246 0.0000 0.3638
0.2369 0.0000 0.9023
0.7631 0.0000 0.0977
0.7754 0.0000 0.6362
0.0817 0.5000 0.1326
0.9183 0.5000 0.8674
0.1465 0.5000 0.6303
0.4597 0.5000 0.1672
0.5000 0.5000 0.5000
0.5403 0.5000 0.8328
0.8535 0.5000 0.3697
```

Output
DFT formation energy ... -0.760 eV/atom



Record 5
InAs2Os after structural relaxation, computed with PBE.

Cell and atoms, written as POSCAR:
```
InAs2Os
1.0
4.2970 -1.5772 0.0000
4.2970 1.5772 0.0000
-2.1007 0.0000 6.1102
In As Os
1 2 1
direct
0.0000 0.0000 0.0000
0.6650 0.6650 0.6487
0.7971 0.7971 0.2638
0.3657 0.3657 0.5805
```

Output
DFT formation energy ... 0.123 eV/atom



Record 6
CrReB after structural relaxation, computed with PBE.

Cell and atoms, written as POSCAR:
```
CrReB
1.0
5.1416 -1.4502 0.0000
5.1416 1.4502 0.0000
-0.8457 0.0000 4.3080
Cr Re B
2 2 2
direct
0.0727 0.0727 0.2839
0.9273 0.9273 0.7161
0.3540 0.3540 0.1771
0.6460 0.6460 0.8229
0.2711 0.2711 0.6225
0.7289 0.7289 0.3775
```

Output
Energy above the lowest structure with this stoichiometry ... 0.077 eV/atom
DFT formation energy ... -0.252 eV/atom



Record 7
ZnP2F8 after structural relaxation, computed with PBE.

Cell and atoms, written as POSCAR:
```
ZnP2F8
1.0
5.3091 -2.6619 0.0000
5.3091 2.6619 0.0000
-1.8694 0.0000 6.6985
Zn P F
1 2 8
direct
0.0000 0.0000 0.0000
0.2472 0.2472 0.6915
0.7528 0.7528 0.3085
0.0627 0.6197 0.2579
0.1027 0.1027 0.2470
0.3561 0.3561 0.9053
0.3803 0.9373 0.7421
0.6197 0.0627 0.2579
0.6439 0.6439 0.0947
0.8973 0.8973 0.7530
0.9373 0.3803 0.7421
```

Output
Energy relative to the elements, uncorrected ... -2194 meV/atom



Record 8
As2OsSe after structural relaxation, computed with PBE.

Cell and atoms, written as POSCAR:
```
As2OsSe
1.0
3.1053 0.0000 0.0000
0.0000 4.6145 0.0000
0.0000 0.0000 4.7044
As Os Se
2 1 1
direct
0.0000 0.0000 0.0000
0.5000 0.5000 0.0000
0.0000 0.5000 0.5000
0.5000 0.0000 0.5000
```

Output
Energy above the lowest structure with this stoichiometry ... 0.619 eV/atom
Energy relative to the elements, uncorrected ... 717 meV/atom



Record 9
Ce2AlGa3Cu4 after structural relaxation, computed with PBE.

Cell and atoms, written as POSCAR:
```
Ce2AlGa3Cu4
1.0
4.2117 0.0000 0.0000
0.0000 4.2117 0.0000
0.0000 0.0000 10.0507
Ce Al Ga Cu
2 1 3 4
direct
0.0000 0.5000 0.2426
0.5000 0.0000 0.7574
0.0000 0.0000 0.5000
0.0000 0.5000 0.8701
0.5000 0.0000 0.1299
0.5000 0.5000 0.5000
0.0000 0.0000 0.0000
0.0000 0.5000 0.6312
0.5000 0.0000 0.3688
0.5000 0.5000 0.0000
```

Output
DFT formation energy ... -0.392 eV/atom



Record 10
Ba2LiPt2 after structural relaxation, computed with PBE.

Cell and atoms, written as POSCAR:
```
Ba2LiPt2
1.0
-2.2804 2.9757 4.9285
2.2804 -2.9757 4.9285
2.2804 2.9757 -4.9285
Ba Li Pt
2 1 2
direct
0.1895 0.1895 0.0000
0.8105 0.8105 0.0000
0.5000 0.0000 0.5000
0.2614 0.5000 0.7614
0.7386 0.5000 0.2386
```

Output
Energy above the lowest structure with this stoichiometry ... 0.000 eV/atom
DFT formation energy ... -0.630 eV/atom



Record 11
U5Pd after structural relaxation, computed with PBE.

Cell and atoms, written as POSCAR:
```
U5Pd
1.0
2.5480 -7.7320 0.0000
2.5480 7.7320 0.0000
0.0000 0.0000 3.0312
U Pd
5 1
direct
0.0000 0.0000 0.0000
0.1568 0.8432 0.5000
0.3261 0.6739 0.0000
0.6739 0.3261 0.0000
0.8432 0.1568 0.5000
0.5000 0.5000 0.5000
```

Output
DFT formation energy ... 0.022 eV/atom



Record 12
Ti2TlBi2 after structural relaxation, computed with PBE.

Cell and atoms, written as POSCAR:
```
Ti2TlBi2
1.0
-2.1816 2.1816 7.6559
2.1816 -2.1816 7.6559
2.1816 2.1816 -7.6559
Ti Tl Bi
2 1 2
direct
0.2500 0.7500 0.5000
0.7500 0.2500 0.5000
0.0000 0.0000 0.0000
0.3747 0.3747 0.0000
0.6253 0.6253 0.0000
```

Output
Energy above the lowest structure with this stoichiometry ... 0.123 eV/atom
DFT formation energy ... 0.106 eV/atom



Record 13
Na2AlBi2 after structural relaxation, computed with PBE.

Cell and atoms, written as POSCAR:
```
Na2AlBi2
1.0
-2.2506 2.2506 8.1219
2.2506 -2.2506 8.1219
2.2506 2.2506 -8.1219
Na Al Bi
2 1 2
direct
0.0957 0.0957 0.0000
0.9043 0.9043 0.0000
0.5000 0.5000 0.0000
0.2500 0.7500 0.5000
0.7500 0.2500 0.5000
```

Output
Energy above the lowest structure with this stoichiometry ... 0.418 eV/atom
DFT formation energy ... 0.225 eV/atom



Record 14
Rb2NdNp3O12 after structural relaxation, computed with PBE.

Cell and atoms, written as POSCAR:
```
Rb2NdNp3O12
1.0
4.0276 2.3253 6.2750
-4.0276 2.3253 6.2750
0.0000 -4.6507 6.2750
Rb Nd Np O
2 1 3 12
direct
0.1295 0.1295 0.1295
0.8705 0.8705 0.8705
0.5000 0.5000 0.5000
0.0000 0.5000 0.5000
0.5000 0.0000 0.5000
0.5000 0.5000 0.0000
0.1423 0.5823 0.5823
0.1964 0.1964 0.5732
0.1964 0.5732 0.1964
0.4177 0.4177 0.8577
0.4177 0.8577 0.4177
0.4268 0.8036 0.8036
0.5732 0.1964 0.1964
0.5823 0.1423 0.5823
0.5823 0.5823 0.1423
0.8036 0.4268 0.8036
0.8036 0.8036 0.4268
0.8577 0.4177 0.4177
```

Output
Energy relative to the elements, uncorrected ... -2714 meV/atom



Record 15
K2ZrCr after structural relaxation, computed with PBE.

Cell and atoms, written as POSCAR:
```
K2ZrCr
1.0
-2.8309 2.8309 4.0109
2.8309 -2.8309 4.0109
2.8309 2.8309 -4.0109
K Zr Cr
2 1 1
direct
0.0000 0.0000 0.0000
0.7500 0.2500 0.5000
0.2500 0.7500 0.5000
0.5000 0.5000 0.0000
```

Output
Energy above the lowest structure with this stoichiometry ... 0.610 eV/atom
DFT formation energy ... 1.288 eV/atom



Record 16
Cs2Cu2F7 after structural relaxation, computed with PBE.

Cell and atoms, written as POSCAR:
```
Cs2Cu2F7
1.0
3.2417 -6.7338 0.0000
3.2417 6.7338 0.0000
-2.1693 0.0000 4.5786
Cs Cu F
2 2 7
direct
0.1701 0.8299 0.0000
0.8299 0.1701 0.0000
0.3257 0.3257 0.6658
0.6743 0.6743 0.3342
0.0000 0.0000 0.5000
0.1795 0.4501 0.6615
0.3551 0.3551 0.1756
0.4501 0.1795 0.6615
0.5499 0.8205 0.3385
0.6449 0.6449 0.8244
0.8205 0.5499 0.3385
```

Output
Energy above the lowest structure with this stoichiometry ... 0.000 eV/atom
Energy relative to the elements, uncorrected ... -1995 meV/atom



Record 17
Mg2InSe after structural relaxation, computed with PBE.

Cell and atoms, written as POSCAR:
```
Mg2InSe
1.0
4.8815 0.0000 0.0000
0.0000 4.8815 0.0000
0.0000 0.0000 3.7959
Mg In Se
2 1 1
direct
0.0000 0.5000 0.0000
0.5000 0.0000 0.0000
0.0000 0.0000 0.5000
0.5000 0.5000 0.5000
```

Output
Energy above the lowest structure with this stoichiometry ... 0.308 eV/atom
Energy relative to the elements, uncorrected ... -251 meV/atom



Record 18
CeDyOs after structural relaxation, computed with PBE.

Cell and atoms, written as POSCAR:
```
CeDyOs
1.0
4.2287 -2.4468 0.0000
4.2287 2.4468 0.0000
-2.8305 0.0000 7.5702
Ce Dy Os
2 2 2
direct
0.1251 0.1251 0.3754
0.8749 0.8749 0.6246
0.3746 0.3746 0.1242
0.6254 0.6254 0.8758
0.2461 0.2461 0.7389
0.7539 0.7539 0.2611
```

Output
Energy above the lowest structure with this stoichiometry ... 0.093 eV/atom
DFT formation energy ... -0.156 eV/atom



Record 19
RbCe2Er2O7 after structural relaxation, computed with PBE.

Cell and atoms, written as POSCAR:
```
RbCe2Er2O7
1.0
-2.2878 2.2878 9.8398
2.2878 -2.2878 9.8398
2.2878 2.2878 -9.8398
Rb Ce Er O
1 2 2 7
direct
0.0000 0.0000 0.0000
0.3885 0.3885 0.0000
0.6115 0.6115 0.0000
0.2500 0.7500 0.5000
0.7500 0.2500 0.5000
0.1367 0.6367 0.5000
0.2618 0.2618 0.0000
0.3633 0.8633 0.5000
0.5000 0.5000 0.0000
0.6367 0.1367 0.5000
0.7382 0.7382 0.0000
0.8633 0.3633 0.5000
```

Output
Energy relative to the elements, uncorrected ... -3140 meV/atom



Record 20
Ni2Pt2N after structural relaxation, computed with PBE.

Cell and atoms, written as POSCAR:
```
Ni2Pt2N
1.0
-1.5613 1.5613 6.7190
1.5613 -1.5613 6.7190
1.5613 1.5613 -6.7190
Ni Pt N
2 2 1
direct
0.2500 0.7500 0.5000
0.7500 0.2500 0.5000
0.0975 0.0975 0.0000
0.9025 0.9025 0.0000
0.5000 0.5000 0.0000
```

Output
Energy above the lowest structure with this stoichiometry ... 0.354 eV/atom
Energy relative to the elements, uncorrected ... 1080 meV/atom